The following is a DFT calculation (PBE) of La7Sm4Tm after structural relaxation.

```
data_La7Sm4Tm
_cell_length_a 6.4409
_cell_length_b 7.3985
_cell_length_c 9.1767
_cell_angle_alpha 89.99
_cell_angle_beta 76.43
_cell_angle_gamma 89.93
_space_group_name_H-M_alt 'P -1'
_space_group_IT_number 2
_space_group_name_Hall '-P 1'
loop_
_atom_site_label
_atom_site_fract_x
_atom_site_fract_y
_atom_site_fract_z
La1 0.0000 0.0000 0.0000
La2 0.2253 0.0004 0.3332
La3 0.2794 0.2524 0.6678
La4 0.5002 0.2552 0.0005
Sm1 0.2175 0.5007 0.3327
Sm2 0.2761 0.7443 0.6713
Tm1 0.0000 0.5000 0.0000
```

The following is a DFT calculation (PBE) of La3SmTm6 after structural relaxation.

```
data_La3SmTm6
_cell_length_a 9.9024
_cell_length_b 9.9024
_cell_length_c 11.5475
_cell_angle_alpha 90.00
_cell_angle_beta 90.00
_cell_angle_gamma 120.00
_space_group_name_H-M_alt 'R -3'
_space_group_IT_number 148
_space_group_name_Hall '-R 3'
loop_
_atom_site_label
_atom_site_fract_x
_atom_site_fract_y
_atom_site_fract_z
La1 0.0000 0.0000 0.0000
La2 0.0000 0.0000 0.2492
Sm1 0.0000 0.0000 0.5000
Tm1 0.0027 0.3277 0.2503
```

The following is a DFT calculation (PBE) of La3Sm3Tm after structural relaxation.

```
data_La3Sm3Tm
_cell_length_a 9.8113
_cell_length_b 9.8113
_cell_length_c 5.8798
_cell_angle_alpha 90.00
_cell_angle_beta 90.00
_cell_angle_gamma 120.00
_space_group_name_H-M_alt 'P 63/m'
_space_group_IT_number 176
_space_group_name_Hall '-P 6c'
loop_
_atom_site_label
_atom_site_fract_x
_atom_site_fract_y
_atom_site_fract_z
La1 0.0485 0.8045 0.2500
Sm1 0.0956 0.6142 0.7500
Tm1 0.3333 0.6667 0.2500
```

The following is a DFT calculation (PBE) of La3Sm3Tm after structural relaxation.

```
data_La3Sm3Tm
_cell_length_a 8.8404
_cell_length_b 8.8404
_cell_length_c 21.9927
_cell_angle_alpha 90.00
_cell_angle_beta 90.00
_cell_angle_gamma 120.00
_space_group_name_H-M_alt 'R -3'
_space_group_IT_number 148
_space_group_name_Hall '-R 3'
loop_
_atom_site_label
_atom_site_fract_x
_atom_site_fract_y
_atom_site_fract_z
La1 0.0032 0.2477 0.0573
Sm1 0.0535 0.4484 0.8807
Tm1 0.0000 0.0000 0.3484
```

The following is a DFT calculation (PBE) of La2SmTm6 after structural relaxation.

```
data_La2SmTm6
_cell_length_a 9.7992
_cell_length_b 9.7992
_cell_length_c 3.4664
_cell_angle_alpha 90.00
_cell_angle_beta 90.00
_cell_angle_gamma 120.00
_space_group_name_H-M_alt 'P 6/m m m'
_space_group_IT_number 191
_space_group_name_Hall '-P 6 2'
loop_
_atom_site_label
_atom_site_fract_x
_atom_site_fract_y
_atom_site_fract_z
La1 0.3333 0.6667 0.0000
Sm1 0.0000 0.0000 0.0000
Tm1 0.0000 0.3313 0.5000
```

The following is a DFT calculation (PBE) of La2Sm5Tm2 after structural relaxation.

```
data_La2Sm5Tm2
_cell_length_a 15.0131
_cell_length_b 11.9965
_cell_length_c 6.8264
_cell_angle_alpha 90.00
_cell_angle_beta 90.00
_cell_angle_gamma 90.00
_space_group_name_H-M_alt 'I m a 2'
_space_group_IT_number 46
_space_group_name_Hall 'I 2 -2a'
loop_
_atom_site_label
_atom_site_fract_x
_atom_site_fract_y
_atom_site_fract_z
La1 0.1260 0.0033 0.0000
Sm1 0.0530 0.7486 0.8555
Sm2 0.1433 0.2332 0.6824
Sm3 0.2500 0.7403 0.6505
Tm1 0.0000 0.0000 0.5348
Tm2 0.2500 0.0079 0.4629
```

The following is a DFT calculation (PBE) of La2Sm5Tm4 after structural relaxation.

```
data_La2Sm5Tm4
_cell_length_a 24.8381
_cell_length_b 3.5293
_cell_length_c 9.1051
_cell_angle_alpha 90.00
_cell_angle_beta 109.60
_cell_angle_gamma 90.00
_space_group_name_H-M_alt 'C 1 2/m 1'
_space_group_IT_number 12
_space_group_name_Hall '-C 2y'
loop_
_atom_site_label
_atom_site_fract_x
_atom_site_fract_y
_atom_site_fract_z
La1 0.2363 0.0000 0.2945
Sm1 0.0000 0.0000 0.5000
Sm2 0.1248 0.5000 0.4660
Sm3 0.1599 0.5000 0.8923
Tm1 0.0100 0.5000 0.8258
Tm2 0.0971 0.0000 0.1225
```

The following is a DFT calculation (PBE) of La7Sm2Tm after structural relaxation.

```
data_La7Sm2Tm
_cell_length_a 9.2539
_cell_length_b 15.1476
_cell_length_c 5.8551
_cell_angle_alpha 90.00
_cell_angle_beta 90.00
_cell_angle_gamma 90.00
_space_group_name_H-M_alt 'C m m m'
_space_group_IT_number 65
_space_group_name_Hall '-C 2 2'
loop_
_atom_site_label
_atom_site_fract_x
_atom_site_fract_y
_atom_site_fract_z
La1 0.0000 0.0000 0.0000
La2 0.0000 0.1667 0.5000
La3 0.1895 0.3911 0.0000
Sm1 0.0000 0.2190 0.0000
Tm1 0.0000 0.5000 0.5000
```

The following is a DFT calculation (PBE) of LaSm9Tm2 after structural relaxation.

```
data_LaSm9Tm2
_cell_length_a 5.1099
_cell_length_b 5.1099
_cell_length_c 15.3579
_cell_angle_alpha 90.00
_cell_angle_beta 90.00
_cell_angle_gamma 90.00
_space_group_name_H-M_alt 'P 4/m m m'
_space_group_IT_number 123
_space_group_name_Hall '-P 4 2'
loop_
_atom_site_label
_atom_site_fract_x
_atom_site_fract_y
_atom_site_fract_z
La1 0.0000 0.0000 0.0000
Sm1 0.0000 0.5000 0.1709
Sm2 0.0000 0.5000 0.5000
Sm3 0.5000 0.5000 0.0000
Sm4 0.5000 0.5000 0.3367
Tm1 0.0000 0.0000 0.3351
```

The following is a DFT calculation (PBE) of La3Sm4Tm3 after structural relaxation.

```
data_La3Sm4Tm3
_cell_length_a 3.7888
_cell_length_b 13.5011
_cell_length_c 13.4538
_cell_angle_alpha 90.00
_cell_angle_beta 90.00
_cell_angle_gamma 90.00
_space_group_name_H-M_alt 'A m m 2'
_space_group_IT_number 38
_space_group_name_Hall 'A 2 -2'
loop_
_atom_site_label
_atom_site_fract_x
_atom_site_fract_y
_atom_site_fract_z
La1 0.0000 0.0000 0.0000
La2 0.5000 0.2438 0.5805
Sm1 0.5000 0.0000 0.2061
Sm2 0.5000 0.0000 0.4555
Sm3 0.5000 0.1280 0.8243
Tm1 0.0000 0.0000 0.6571
Tm2 0.0000 0.1696 0.3302
```

The following is a DFT calculation (PBE) of La2Sm7Tm3 after structural relaxation.

```
data_La2Sm7Tm3
_cell_length_a 5.7960
_cell_length_b 38.3449
_cell_length_c 3.6496
_cell_angle_alpha 90.00
_cell_angle_beta 90.00
_cell_angle_gamma 90.00
_space_group_name_H-M_alt 'C m m m'
_space_group_IT_number 65
_space_group_name_Hall '-C 2 2'
loop_
_atom_site_label
_atom_site_fract_x
_atom_site_fract_y
_atom_site_fract_z
La1 0.0000 0.1486 0.0000
Sm1 0.0000 0.0000 0.0000
Sm2 0.0000 0.0708 0.5000
Sm3 0.0000 0.2314 0.0000
Sm4 0.0000 0.4109 0.0000
Tm1 0.0000 0.3134 0.5000
Tm2 0.0000 0.5000 0.5000
```

The following is a DFT calculation (PBE) of LaSm2Tm5 after structural relaxation.

```
data_LaSm2Tm5
_cell_length_a 7.1440
_cell_length_b 7.1440
_cell_length_c 9.9153
_cell_angle_alpha 90.00
_cell_angle_beta 90.00
_cell_angle_gamma 90.00
_space_group_name_H-M_alt 'I 4/m m m'
_space_group_IT_number 139
_space_group_name_Hall '-I 4 2'
loop_
_atom_site_label
_atom_site_fract_x
_atom_site_fract_y
_atom_site_fract_z
La1 0.0000 0.0000 0.0000
Sm1 0.0000 0.5000 0.0000
Tm1 0.0000 0.0000 0.5000
Tm2 0.2500 0.2500 0.2500
```

The following is a DFT calculation (PBE) of LaSm2Tm6 after structural relaxation.

```
data_LaSm2Tm6
_cell_length_a 12.8180
_cell_length_b 14.0171
_cell_length_c 6.5602
_cell_angle_alpha 90.00
_cell_angle_beta 102.51
_cell_angle_gamma 90.00
_space_group_name_H-M_alt 'C 1 2/c 1'
_space_group_IT_number 15
_space_group_name_Hall '-C 2yc'
loop_
_atom_site_label
_atom_site_fract_x
_atom_site_fract_y
_atom_site_fract_z
La1 0.0000 0.1221 0.2500
Sm1 0.1413 0.4725 0.3710
Tm1 0.0337 0.3127 0.9988
Tm2 0.1347 0.0861 0.8203
Tm3 0.2395 0.2972 0.7353
```

The following is a DFT calculation (PBE) of LaSm3Tm after structural relaxation.

```
data_LaSm3Tm
_cell_length_a 6.1759
_cell_length_b 6.1759
_cell_length_c 33.8288
_cell_angle_alpha 90.00
_cell_angle_beta 90.00
_cell_angle_gamma 120.00
_space_group_name_H-M_alt 'R -3'
_space_group_IT_number 148
_space_group_name_Hall '-R 3'
loop_
_atom_site_label
_atom_site_fract_x
_atom_site_fract_y
_atom_site_fract_z
La1 0.0000 0.0000 0.1660
Sm1 0.0022 0.3383 0.7477
Tm1 0.0000 0.0000 0.3339
```

The following is a DFT calculation (PBE) of La5Sm2Tm2 after structural relaxation.

```
data_La5Sm2Tm2
_cell_length_a 15.0141
_cell_length_b 11.8065
_cell_length_c 6.9710
_cell_angle_alpha 90.00
_cell_angle_beta 90.00
_cell_angle_gamma 90.00
_space_group_name_H-M_alt 'I m a 2'
_space_group_IT_number 46
_space_group_name_Hall 'I 2 -2a'
loop_
_atom_site_label
_atom_site_fract_x
_atom_site_fract_y
_atom_site_fract_z
La1 0.0502 0.2290 0.0000
La2 0.1445 0.7249 0.3399
La3 0.2500 0.2472 0.8263
Sm1 0.0000 0.0000 0.6426
Sm2 0.2500 0.5041 0.1176
Tm1 0.1290 0.5076 0.6799
```

The following is a DFT calculation (PBE) of La4Sm6Tm after structural relaxation.

```
data_La4Sm6Tm
_cell_length_a 6.8834
_cell_length_b 6.8834
_cell_length_c 16.7120
_cell_angle_alpha 90.00
_cell_angle_beta 90.00
_cell_angle_gamma 90.00
_space_group_name_H-M_alt 'I -4 2 m'
_space_group_IT_number 121
_space_group_name_Hall 'I -4 2'
loop_
_atom_site_label
_atom_site_fract_x
_atom_site_fract_y
_atom_site_fract_z
La1 0.1895 0.1895 0.3215
Sm1 0.0000 0.5000 0.0000
Sm2 0.1709 0.1709 0.1136
Tm1 0.0000 0.0000 0.5000
```

The following is a DFT calculation (PBE) of LaSm2Tm12 after structural relaxation.

```
data_LaSm2Tm12
_cell_length_a 3.4807
_cell_length_b 5.4975
_cell_length_c 24.6578
_cell_angle_alpha 96.30
_cell_angle_beta 93.96
_cell_angle_gamma 90.00
_space_group_name_H-M_alt 'P -1'
_space_group_IT_number 2
_space_group_name_Hall '-P 1'
loop_
_atom_site_label
_atom_site_fract_x
_atom_site_fract_y
_atom_site_fract_z
La1 0.0000 0.0000 0.0000
Sm1 0.3576 0.8637 0.7238
Tm1 0.0968 0.5943 0.1927
Tm2 0.1713 0.6648 0.3337
Tm3 0.2042 0.1990 0.4036
Tm4 0.2691 0.2732 0.5411
Tm5 0.4318 0.9337 0.8636
Tm6 0.4650 0.4674 0.9320
```

The following is a DFT calculation (PBE) of La3Sm4Tm5 after structural relaxation.

```
data_La3Sm4Tm5
_cell_length_a 6.2306
_cell_length_b 7.1925
_cell_length_c 8.8297
_cell_angle_alpha 89.73
_cell_angle_beta 89.86
_cell_angle_gamma 89.95
_space_group_name_H-M_alt 'P -1'
_space_group_IT_number 2
_space_group_name_Hall '-P 1'
loop_
_atom_site_label
_atom_site_fract_x
_atom_site_fract_y
_atom_site_fract_z
La1 0.0000 0.0000 0.0000
La2 0.1683 0.2503 0.3323
Sm1 0.1708 0.7498 0.3325
Sm2 0.3309 0.4995 0.6704
Tm1 0.0000 0.5000 0.0000
Tm2 0.3359 0.0003 0.6699
Tm3 0.4977 0.7493 0.0005
```

The following is a DFT calculation (PBE) of La3Sm4Tm5 after structural relaxation.

```
data_La3Sm4Tm5
_cell_length_a 16.0595
_cell_length_b 5.9991
_cell_length_c 9.4065
_cell_angle_alpha 90.00
_cell_angle_beta 116.59
_cell_angle_gamma 90.00
_space_group_name_H-M_alt 'C 1 2/m 1'
_space_group_IT_number 12
_space_group_name_Hall '-C 2y'
loop_
_atom_site_label
_atom_site_fract_x
_atom_site_fract_y
_atom_site_fract_z
La1 0.0000 0.0000 0.0000
La2 0.2110 0.5000 0.2354
Sm1 0.0842 0.5000 0.4452
Sm2 0.2060 0.5000 0.8800
Tm1 0.0000 0.5000 0.0000
Tm2 0.0703 0.0000 0.6960
Tm3 0.1708 0.0000 0.3856
```

Calculated spin magnetization in order - 0.00 0.00 0.00 0.00 0.00 0.00 0.00 0.00 0.00 0.00 0.00 0.00 0.00 0.00 0.00 0.00 0.00 0.00 0.00 μB/f.u.
Calculated formation energy from the elements in order - 1 30 3 22 8 19 15 55 2 8 12 2 10 36 19 26 5 2 23 kJ/mol of atoms